Mn2TlF7 | GGA+U | relaxed

Cell lengths 6.301, 12.365, 3.869 Å; angles 90.00, 90.00, 90.00 degrees
Space group Cmmm (No. 65)
Asymmetric unit:
Mn (0.000, 0.164, 0.000) [4 per cell]
Tl (0.000, 0.500, 0.500) [2 per cell]
F (0.000, 0.000, 0.000) [2 per cell]
F (0.000, 0.187, 0.500) [4 per cell]
F (0.206, 0.349, 0.000) [8 per cell]

Calculated values
Electronic total energy: -5.331 eV/atom